# 1
The following is a PBE calculation of a relaxed PmNd4Tm10 crystal, from Alexandria.

CIF file:
```
data_PmNd4Tm10
_chemical_formula_sum 'Pm2 Nd8 Tm20'
_cell_length_a 11.1994
_cell_length_b 11.1994
_cell_length_c 7.9501
_cell_angle_alpha 90.00
_cell_angle_beta 90.00
_cell_angle_gamma 90.00
_space_group_name_H-M_alt 'I 4/m m m'
_space_group_IT_number 139
_space_group_name_Hall '-I 4 2'
loop_
_atom_site_label
_atom_site_type_symbol
_atom_site_fract_x
_atom_site_fract_y
_atom_site_fract_z
Pm1 Pm 0.0000 0.0000 0.0000
Nd1 Nd 0.2272 0.2272 0.0000
Tm1 Tm 0.0000 0.2078 0.2958
Tm2 Tm 0.0000 0.5000 0.2500
```

Calculated values
total magnetic moment	0.00	Bohr magnetons per cell
calculated formation energy	0.278	eV per atom
E_tot	-4.29	eV/atom

***

# 2
The following is a PBE calculation of a relaxed Pm5Nd4Tm4 crystal, from Alexandria.

CIF file:
```
data_Pm5Nd4Tm4
_chemical_formula_sum 'Pm10 Nd8 Tm8'
_cell_length_a 13.0360
_cell_length_b 13.0360
_cell_length_c 5.0922
_cell_angle_alpha 90.00
_cell_angle_beta 90.00
_cell_angle_gamma 90.00
_space_group_name_H-M_alt 'I 4/m'
_space_group_IT_number 87
_space_group_name_Hall '-I 4'
loop_
_atom_site_label
_atom_site_type_symbol
_atom_site_fract_x
_atom_site_fract_y
_atom_site_fract_z
Pm1 Pm 0.0000 0.0000 0.0000
Pm2 Pm 0.0407 0.8090 0.5000
Nd1 Nd 0.0774 0.6175 0.0000
Tm1 Tm 0.1543 0.2315 0.0000
```

Calculated values
total magnetic moment	0.00	Bohr magnetons per cell
calculated formation energy	0.018	eV per atom
E_tot	-4.65	eV/atom

***

# 3
The following is a PBE calculation of a relaxed PmNd4Tm6 crystal, from Alexandria.

CIF file:
```
data_PmNd4Tm6
_chemical_formula_sum 'Pm2 Nd8 Tm12'
_cell_length_a 7.7720
_cell_length_b 7.7720
_cell_length_c 12.8946
_cell_angle_alpha 90.00
_cell_angle_beta 90.00
_cell_angle_gamma 90.00
_space_group_name_H-M_alt 'I -4 2 m'
_space_group_IT_number 121
_space_group_name_Hall 'I -4 2'
loop_
_atom_site_label
_atom_site_type_symbol
_atom_site_fract_x
_atom_site_fract_y
_atom_site_fract_z
Pm1 Pm 0.0000 0.0000 0.0000
Nd1 Nd 0.1743 0.1743 0.4247
Tm1 Tm 0.0000 0.5000 0.0000
Tm2 Tm 0.2464 0.2464 0.6829
```

Calculated values
total magnetic moment	0.00	Bohr magnetons per cell
calculated formation energy	0.468	eV per atom
E_tot	-4.14	eV/atom

***

# 4
The following is a PBE calculation of a relaxed Pm2NdTm4 crystal, from Alexandria.

CIF file:
```
data_Pm2NdTm4
_chemical_formula_sum 'Pm4 Nd2 Tm8'
_cell_length_a 6.0086
_cell_length_b 8.5327
_cell_length_c 9.8703
_cell_angle_alpha 85.05
_cell_angle_beta 72.31
_cell_angle_gamma 69.45
_space_group_name_H-M_alt 'P 1'
_space_group_IT_number 1
loop_
_space_group_symop_operation_xyz
'x,y,z'
loop_
_atom_site_label
_atom_site_type_symbol
_atom_site_fract_x
_atom_site_fract_y
_atom_site_fract_z
Pm1 Pm 0.0000 0.0000 0.0000
Pm2 Pm 0.0018 0.9328 0.3645
Pm3 Pm 0.1904 0.4991 0.4999
Pm4 Pm 0.2992 0.0665 0.6355
Nd1 Nd 0.1876 0.5672 0.1362
Nd2 Nd 0.8905 0.4325 0.8640
Tm1 Tm 0.3706 0.6462 0.7733
Tm2 Tm 0.4016 0.1447 0.2737
Tm3 Tm 0.4431 0.2103 0.9207
Tm4 Tm 0.5743 0.7891 0.0797
Tm5 Tm 0.6152 0.7110 0.4205
Tm6 Tm 0.7464 0.2881 0.5798
Tm7 Tm 0.7912 0.3532 0.2269
Tm8 Tm 0.8193 0.8540 0.7262
```

Calculated values
total magnetic moment	0.00	Bohr magnetons per cell
calculated formation energy	0.077	eV per atom
E_tot	-4.52	eV/atom